No. 1
# GGA-PBE Pu2PbAu3, relaxed
data_Pu2PbAu3
_chemical_formula_sum 'Pu4 Pb2 Au6'
_cell_length_a 3.2597
_cell_length_b 4.7172
_cell_length_c 19.6869
_cell_angle_alpha 90.00
_cell_angle_beta 90.00
_cell_angle_gamma 90.00
_symmetry_space_group_name_H-M 'I m m 2'
_symmetry_Int_Tables_number 44
loop_
_symmetry_equiv_pos_as_xyz
'x,y,z'
'-x,-y,z'
'-x,y,z'
'x,-y,z'
'x+1/2,y+1/2,z+1/2'
'-x+1/2,-y+1/2,z+1/2'
'-x+1/2,y+1/2,z+1/2'
'x+1/2,-y+1/2,z+1/2'
loop_
_atom_site_label
_atom_site_type_symbol
_atom_site_fract_x
_atom_site_fract_y
_atom_site_fract_z
Pu1 Pu 0.0000 0.0000 0.0000
Pu2 Pu 0.0000 0.5000 0.2095
Pb1 Pb 0.0000 0.0000 0.4054
Au1 Au 0.0000 0.0000 0.5647
Au2 Au 0.0000 0.5000 0.6408
Au3 Au 0.0000 0.5000 0.7831
# **Theoretical density**: 14.11 g/cm3
# **ΔE_f**: -1.620 eV/f.u.
# **Density of states at the Fermi level**: 43.2 states/eV per cell

=====

No. 2
# GGA-PBE HfPaCo2, relaxed
data_HfPaCo2
_chemical_formula_sum 'Hf1 Pa1 Co2'
_cell_length_a 3.0949
_cell_length_b 3.0949
_cell_length_c 6.9418
_cell_angle_alpha 90.00
_cell_angle_beta 90.00
_cell_angle_gamma 90.00
_symmetry_space_group_name_H-M 'P 4/m m m'
_symmetry_Int_Tables_number 123
_symmetry_space_group_name_Hall '-P 4 2'
loop_
_atom_site_label
_atom_site_type_symbol
_atom_site_fract_x
_atom_site_fract_y
_atom_site_fract_z
Hf1 Hf 0.0000 0.0000 0.0000
Pa1 Pa 0.0000 0.0000 0.5000
Co1 Co 0.5000 0.5000 0.2178
# **Energy above the lowest structure with this stoichiometry**: 161 meV/atom
# **Theoretical density**: 13.17 g/cm3
# **ΔE_f**: -1.166 eV/f.u.
# **Density of states at the Fermi level**: 2.4 states/eV per cell

=====

No. 3
# GGA-PBE Rb2CeO3, relaxed
data_Rb2CeO3
_chemical_formula_sum 'Rb8 Ce4 O12'
_cell_length_a 6.4311
_cell_length_b 11.1079
_cell_length_c 6.9759
_cell_angle_alpha 90.00
_cell_angle_beta 108.28
_cell_angle_gamma 90.00
_symmetry_space_group_name_H-M 'C 1 2/m 1'
_symmetry_Int_Tables_number 12
loop_
_symmetry_equiv_pos_as_xyz
'x,y,z'
'-x,-y,-z'
'-x,y,-z'
'x,-y,z'
'x+1/2,y+1/2,z'
'-x+1/2,-y+1/2,-z'
'-x+1/2,y+1/2,-z'
'x+1/2,-y+1/2,z'
loop_
_atom_site_label
_atom_site_type_symbol
_atom_site_fract_x
_atom_site_fract_y
_atom_site_fract_z
Rb1 Rb 0.0000 0.0000 0.0000
Rb2 Rb 0.0000 0.1572 0.5000
Rb3 Rb 0.0000 0.5000 0.5000
Ce1 Ce 0.0000 0.3328 0.0000
O1 O 0.1656 0.5000 0.1830
O2 O 0.2355 0.3003 0.8141
# **Theoretical density**: 5.04 g/cm3
# **Uncorrected formation energy**: -1368 kJ/mol of formula units
# **Density of states at the Fermi level**: 0.0 states/eV per cell